DFT (PBE) results for a relaxed Tl2HgBPb crystal.

Computed properties:
- Formation enthalpy at 0 K: 1.338 eV/atom
- Crystal system: tetragonal
- Space group: P4/mmm
- M_tot: 0.000 μB/atom
- Energy: -8.73 eV per cell
- V: 189.7 Å³ per cell

a = 5.7198 Å, b = 5.7979 Å, c = 5.7198 Å
α = 90.00°, β = 90.00°, γ = 90.00°
Atoms (fractional coordinates):
Pb (0.0000, 0.5000, 0.0000)
Tl (0.0000, 0.0000, 0.5000)
Tl (0.5000, 0.0000, 0.0000)
B (0.5000, 0.5000, 0.5000)
Hg (0.0000, 0.0000, 0.0000)

=====

DFT (PBE) results for a relaxed RbNa2Pb2 crystal.

Computed properties:
- Formation enthalpy at 0 K: -0.101 eV/atom
- Energy relative to the lowest polymorph listed for this composition: 1.1 meV/atom
- Crystal system: tetragonal
- Space group: P4/mbm
- M_tot: 0.000 μB/atom
- Energy: -23.05 eV per cell
- V: 349.5 Å³ per cell

a = 9.6572 Å, b = 9.6572 Å, c = 3.7476 Å
α = 90.00°, β = 90.00°, γ = 90.00°
Atoms (fractional coordinates):
Pb (0.3842, 0.8842, 0.0000)
Pb (0.8842, 0.6158, 0.0000)
Pb (0.6158, 0.1158, 0.0000)
Pb (0.1158, 0.3842, 0.0000)
Na (0.1722, 0.6722, 0.5000)
Na (0.6722, 0.8278, 0.5000)
Na (0.8278, 0.3278, 0.5000)
Na (0.3278, 0.1722, 0.5000)
Rb (0.0000, 0.0000, 0.0000)
Rb (0.5000, 0.5000, 0.0000)

=====

DFT (PBE) results for a relaxed Dy3TlCd crystal.

Computed properties:
- Formation enthalpy at 0 K: -0.258 eV/atom
- Energy relative to the lowest polymorph listed for this composition: 0.0 meV/atom
- Crystal system: orthorhombic
- Space group: Cmcm
- M_tot: 0.108 μB/atom
- Energy: -36.76 eV per cell
- V: 279.6 Å³ per cell

a = 5.1278 Å, b = 5.1273 Å, c = 10.9373 Å
α = 90.00°, β = 76.44°, γ = 90.00°
Site moments in Bohr magnetons follow the coordinates.
Atoms (fractional coordinates):
Dy (0.7653, 0.2500, 0.1178)  0.10
Dy (0.3813, 0.2500, 0.8857)  0.11
Dy (0.5740, 0.2500, 0.5004)  0.17
Dy (0.2670, 0.7500, 0.1143)  0.11
Dy (0.8831, 0.7500, 0.8822)  0.10
Dy (0.0744, 0.7500, 0.4996)  0.17
Tl (0.6689, 0.7500, 0.3106)  0.00
Tl (0.9795, 0.2500, 0.6894)  0.00
Cd (0.4777, 0.7500, 0.6929)  0.01
Cd (0.1706, 0.2500, 0.3071)  0.01

=====

DFT (PBE) results for a relaxed SnHgTeI2 crystal.

Computed properties:
- E_form (uncorrected): 0.053 eV per atom
- Energy relative to the lowest polymorph listed for this composition: 0.0 meV/atom
- Crystal system: tetragonal
- Space group: P4/mmm
- M_tot: 0.045 μB/atom
- Energy: -10.28 eV per cell
- V: 210.8 Å³ per cell

a = 6.0094 Å, b = 6.0094 Å, c = 5.8374 Å
α = 90.00°, β = 90.00°, γ = 90.00°
Site moments in Bohr magnetons follow the coordinates.
Atoms (fractional coordinates):
I (0.0000, 0.5000, 0.0000)  0.02
I (0.5000, 0.0000, 0.0000)  0.02
Te (0.0000, 0.0000, 0.5000)  0.09
Hg (0.5000, 0.5000, 0.5000)  0.01
Sn (0.0000, 0.0000, 0.0000)  0.00

=====

no.,DOS at the Fermi energy (states/eV/f.u.)
1,5.54
2,2.47
3,5.99
4,5.39